10
Lattice="6.6332 0.0000 0.0000 0.0000 6.6332 0.0000 0.0000 0.0000 4.2062" Properties=species:S:1:pos:R:3 comment="PBE-GGA Cd2Ir2Pd, optimized geometry" sg="P4/mbm (127)" ef_ev_per_fu=1.25 pbc="T T T"
Cd 2.1494 1.1672 2.1031
Cd 5.4660 2.1494 2.1031
Ir 2.4662 5.7828 0.0000
Ir 0.8504 2.4662 0.0000
Cd 1.1672 4.4838 2.1031
Pd 3.3166 3.3166 0.0000
Pd 0.0000 0.0000 0.0000
Cd 4.4838 5.4660 2.1031
Ir 4.1669 0.8504 0.0000
Ir 5.7828 4.1669 0.0000